Here is a relaxed structure of YTaTl2 from the Alexandria database. Energies are from PBEsol.

The total energy is -47.76 eV per cell. The formation energy comes out at 188 meV per atom.

The space group is C2/m (No. 12) and the conventional cell measures 10.097, 3.161 and 5.797 Å, with angles of 90.00, 98.81 and 90.00 degrees. Symmetry generates all atoms from Y at (0.000, 0.000, 0.000), Ta at (0.000, 0.500, 0.500) and Tl at (0.245, 0.000, 0.731).